# KHf3Rh | Alexandria via LeMat-Bulk | PBE | relaxed
data_KHf3Rh
_cell_length_a 4.730
_cell_length_b 4.730
_cell_length_c 4.730
_cell_angle_alpha 90.00
_cell_angle_beta 90.00
_cell_angle_gamma 90.00
_space_group_name_H-M_alt 'P 1'
_space_group_IT_number 1
loop_
_space_group_symop_operation_xyz
'x,y,z'
loop_
_atom_site_label
_atom_site_type_symbol
_atom_site_fract_x
_atom_site_fract_y
_atom_site_fract_z
Rh1 Rh 0.500 0.500 0.500
K1 K 0.000 0.000 0.000
Hf1 Hf 0.000 0.500 0.000
Hf2 Hf 0.000 0.000 0.500
Hf3 Hf 0.500 0.000 0.000
# - Raw total energy: -5.50 eV/atom
# - Offset from the most stable computed form: 1666 meV/atom
# - Calculated volume: 21.16 A^3/atom
# - Crystal system: cubic